(1)
# PmTm8Sc4 GGA-PBE optimized geometry
data_PmTm8Sc4
_cell_length_a 6.6915
_cell_length_b 6.6915
_cell_length_c 30.4481
_cell_angle_alpha 90.00
_cell_angle_beta 90.00
_cell_angle_gamma 120.00
_symmetry_space_group_name_H-M 'R -3 m'
_symmetry_Int_Tables_number 166
_symmetry_space_group_name_Hall '-R 3 2"'
loop_
_atom_site_label
_atom_site_type_symbol
_atom_site_fract_x
_atom_site_fract_y
_atom_site_fract_z
_atom_site_occupancy
Pm1 Pm 0.0000 0.0000 0.0000 1
Tm1 Tm 0.0000 0.0000 0.0930 1
Tm2 Tm 0.0015 0.5008 0.0683 1
Sc1 Sc 0.0000 0.0000 0.5000 1
Sc2 Sc 0.0000 0.5000 0.5000 1
# ΔE_f, eV per atom: 0.25
# Total magnetic moment, μB per formula unit: 0.0


(2)
# BaNi2Sb GGA-PBE optimized geometry
data_BaNi2Sb
_cell_length_a 4.160
_cell_length_b 6.239
_cell_length_c 7.989
_cell_angle_alpha 90.00
_cell_angle_beta 90.00
_cell_angle_gamma 90.00
_symmetry_space_group_name_H-M 'I m m 2'
_symmetry_Int_Tables_number 44
_symmetry_space_group_name_Hall 'I 2 -2'
loop_
_atom_site_label
_atom_site_type_symbol
_atom_site_fract_x
_atom_site_fract_y
_atom_site_fract_z
_atom_site_occupancy
Ba1 Ba 0.000 0.000 0.000 1
Ni1 Ni 0.000 0.000 0.501 1
Ni2 Ni 0.000 0.500 0.152 1
Sb1 Sb 0.000 0.500 0.830 1
# Total magnetic moment, μB per formula unit: 0.4
# Formation energy from raw total energies, kJ/mol of atoms: 8


(3)
# Ga4Sn4Hg GGA-PBE optimized geometry
data_Ga4Sn4Hg
_cell_length_a 6.576
_cell_length_b 6.576
_cell_length_c 10.331
_cell_angle_alpha 90.00
_cell_angle_beta 90.00
_cell_angle_gamma 90.00
_symmetry_space_group_name_H-M 'P 42/n m c'
_symmetry_Int_Tables_number 137
loop_
_symmetry_equiv_pos_as_xyz
'x,y,z'
'-x,-y,-z'
'-y+1/2,x,z+1/2'
'y+1/2,-x,-z+1/2'
'-x+1/2,-y+1/2,z'
'x+1/2,y+1/2,-z'
'y,-x+1/2,z+1/2'
'-y,x+1/2,-z+1/2'
'x+1/2,-y,-z'
'-x+1/2,y,z'
'-y,-x,-z+1/2'
'y,x,z+1/2'
'-x,y+1/2,-z'
'x,-y+1/2,z'
'y+1/2,x+1/2,-z+1/2'
'-y+1/2,-x+1/2,z+1/2'
loop_
_atom_site_label
_atom_site_type_symbol
_atom_site_fract_x
_atom_site_fract_y
_atom_site_fract_z
_atom_site_occupancy
Ga1 Ga 0.044 0.250 0.199 1
Sn1 Sn 0.012 0.750 0.518 1
Hg1 Hg 0.250 0.750 0.250 1
# ΔE_f, eV per atom: 0.06
# Total magnetic moment, μB per formula unit: 0.0


(4)
# CrTePt GGA-PBE optimized geometry
data_CrTePt
_cell_length_a 4.0227
_cell_length_b 4.0227
_cell_length_c 4.2528
_cell_angle_alpha 90.00
_cell_angle_beta 90.00
_cell_angle_gamma 120.00
_symmetry_space_group_name_H-M 'P 3 m 1'
_symmetry_Int_Tables_number 156
_symmetry_space_group_name_Hall 'P 3 -2"'
loop_
_atom_site_label
_atom_site_type_symbol
_atom_site_fract_x
_atom_site_fract_y
_atom_site_fract_z
_atom_site_occupancy
Cr1 Cr 0.0000 0.0000 0.0000 1
Te1 Te 0.6667 0.3333 0.6322 1
Pt1 Pt 0.3333 0.6667 0.2686 1
# ΔE to the lowest computed polymorph, meV/atom: 122.9
# Total magnetic moment, μB per formula unit: 3.1
# Formation energy from raw total energies, kJ/mol of atoms: 8


(5)
# HfIn2H GGA-PBE optimized geometry
data_HfIn2H
_cell_length_a 3.3546
_cell_length_b 3.3546
_cell_length_c 7.7507
_cell_angle_alpha 90.00
_cell_angle_beta 90.00
_cell_angle_gamma 120.00
_symmetry_space_group_name_H-M 'P -6 m 2'
_symmetry_Int_Tables_number 187
_symmetry_space_group_name_Hall 'P -6 2'
loop_
_atom_site_label
_atom_site_type_symbol
_atom_site_fract_x
_atom_site_fract_y
_atom_site_fract_z
_atom_site_occupancy
Hf1 Hf 0.0000 0.0000 0.0000 1
In1 In 0.6667 0.3333 0.3168 1
H1 H 0.3333 0.6667 0.0000 1
# ΔE to the lowest computed polymorph, meV/atom: 0.0
# Total magnetic moment, μB per formula unit: 0.0


(6)
# TcPtN3 GGA-PBE optimized geometry
data_TcPtN3
_cell_length_a 3.884
_cell_length_b 3.884
_cell_length_c 3.884
_cell_angle_alpha 90.00
_cell_angle_beta 90.00
_cell_angle_gamma 90.00
_symmetry_space_group_name_H-M 'P m -3 m'
_symmetry_Int_Tables_number 221
_symmetry_space_group_name_Hall '-P 4 2 3'
loop_
_atom_site_label
_atom_site_type_symbol
_atom_site_fract_x
_atom_site_fract_y
_atom_site_fract_z
_atom_site_occupancy
Tc1 Tc 0.000 0.000 0.000 1
Pt1 Pt 0.500 0.500 0.500 1
N1 N 0.000 0.000 0.500 1
# Total magnetic moment, μB per formula unit: 0.0
# Formation energy from raw total energies, kJ/mol of atoms: 135


(7)
# BeCrBr2 GGA-PBE optimized geometry
data_BeCrBr2
_cell_length_a 3.293
_cell_length_b 8.505
_cell_length_c 9.102
_cell_angle_alpha 90.00
_cell_angle_beta 90.00
_cell_angle_gamma 90.00
_symmetry_space_group_name_H-M 'I m m 2'
_symmetry_Int_Tables_number 44
_symmetry_space_group_name_Hall 'I 2 -2'
loop_
_atom_site_label
_atom_site_type_symbol
_atom_site_fract_x
_atom_site_fract_y
_atom_site_fract_z
_atom_site_occupancy
Be1 Be 0.000 0.000 0.000 1
Cr1 Cr 0.000 0.500 0.279 1
Br1 Br 0.000 0.000 0.576 1
Br2 Br 0.000 0.500 0.657 1
# ΔE to the lowest computed polymorph, meV/atom: 78.8
# Total magnetic moment, μB per formula unit: 4.0
# Formation energy from raw total energies, kJ/mol of atoms: 1


(8)
# CuHgHRh2 GGA-PBE optimized geometry
data_CuHgHRh2
_cell_length_a 4.005
_cell_length_b 4.005
_cell_length_c 3.979
_cell_angle_alpha 90.00
_cell_angle_beta 90.00
_cell_angle_gamma 90.00
_symmetry_space_group_name_H-M 'P 4/m m m'
_symmetry_Int_Tables_number 123
_symmetry_space_group_name_Hall '-P 4 2'
loop_
_atom_site_label
_atom_site_type_symbol
_atom_site_fract_x
_atom_site_fract_y
_atom_site_fract_z
_atom_site_occupancy
Cu1 Cu 0.000 0.000 0.000 1
Hg1 Hg 0.500 0.500 0.000 1
H1 H 0.000 0.000 0.500 1
Rh1 Rh 0.000 0.500 0.500 1
# ΔE to the lowest computed polymorph, meV/atom: 0.0
# Total magnetic moment, μB per formula unit: 0.0